! TaBeCr2 | the Alexandria database | PBE | optimized geometry; values from VASP
! Magnetization = 0.0 Bohr magnetons per cell
! SG = I-42d
! Final energy = -8.09 eV/atom
! Mass density = 9.4 g/cm³
&SYSTEM
  ibrav = 0, nat = 8, ntyp = 3
/
ATOMIC_SPECIES
Cr 52.00 Cr.upf
Be 9.01 Be.upf
Ta 180.95 Ta.upf
ATOMIC_POSITIONS crystal
Cr 0.578 0.125 0.250
Cr 0.172 0.625 0.250
Cr 0.375 0.422 0.750
Cr 0.875 0.828 0.750
Be 0.500 0.500 0.000
Be 0.250 0.750 0.500
Ta 0.000 0.000 0.000
Ta 0.750 0.250 0.500
CELL_PARAMETERS angstrom
6.638 0.000 0.000
0.000 6.638 0.000
3.319 3.319 2.369